(1)
! ZrTiV GGA-PBE relaxed; values from VASP
! Total magnetic moment ... 0.40 μB per atom
! Crystal system ... trigonal
! Total DFT energy (no corrections) ... -8.361 eV/atom
&SYSTEM
  ibrav = 0, nat = 3, ntyp = 3
/
ATOMIC_SPECIES
Zr 91.22 Zr.upf
V 50.94 V.upf
Ti 47.87 Ti.upf
ATOMIC_POSITIONS crystal
Zr 0.024 0.000 0.000
V 0.391 0.333 0.667
Ti 0.585 0.667 0.333
CELL_PARAMETERS angstrom
-1.129 0.032 -2.812
-1.022 -4.418 0.360
-3.036 3.147 1.255

=====

(2)
! RbBiSN2 GGA-PBE relaxed; values from VASP
! Uncorrected formation energy ... 2220 meV/atom
! Total magnetic moment ... 0.41 μB per atom
! Crystal system ... tetragonal
! Total DFT energy (no corrections) ... -2.906 eV/atom
&SYSTEM
  ibrav = 0, nat = 5, ntyp = 4
/
ATOMIC_SPECIES
Rb 85.47 Rb.upf
Bi 208.98 Bi.upf
S 32.06 S.upf
N 14.01 N.upf
ATOMIC_POSITIONS crystal
Rb 0.000 0.000 0.000
Bi 0.500 0.500 0.500
S 0.000 0.000 0.500
N 0.000 0.500 0.000
N 0.500 0.000 0.000
CELL_PARAMETERS angstrom
-3.764 0.824 2.386
1.766 -2.202 3.546
2.422 5.203 2.025

=====

(3)
! Ac2PmHo2 GGA-PBE relaxed; values from VASP
! Total magnetic moment ... 0.00 μB per atom
! Crystal system ... monoclinic
! Total DFT energy (no corrections) ... -4.200 eV/atom
&SYSTEM
  ibrav = 0, nat = 10, ntyp = 3
/
ATOMIC_SPECIES
Ac 227.00 Ac.upf
Ho 164.93 Ho.upf
Pm 145.00 Pm.upf
ATOMIC_POSITIONS crystal
Ac 0.869 0.633 0.239
Ac 0.131 0.367 0.761
Ac 0.371 0.106 0.239
Ac 0.629 0.894 0.761
Ho 0.252 0.002 0.504
Ho 0.580 0.330 0.161
Ho 0.420 0.670 0.839
Ho 0.748 0.998 0.496
Pm 0.916 0.666 0.831
Pm 0.084 0.334 0.169
CELL_PARAMETERS angstrom
11.005 0.724 -5.909
-1.946 5.331 -2.887
-2.733 -0.383 8.069